La2FeRh PBE optimized geometry; D(E_F) = 5.4 states/eV/f.u.; E = -6.35 eV per atom; distance to the lowest polymorph of the same formula = 1.28 eV/f.u.
1.0
-3.763 3.763 3.218
3.763 -3.763 3.218
3.763 3.763 -3.218
La Fe Rh
4 2 2
Cartesian
1.881 1.829 -0.805
1.933 -1.881 4.023
1.881 1.933 2.414
1.829 5.644 0.805
0.000 0.000 0.000
0.000 3.763 1.609
3.763 0.000 1.609
0.000 0.000 3.218